Crystalline BaGaH2 at its relaxed geometry, computed with PBE-GGA.

DFT total energy	-2.9241	eV per atom
density of states at the Fermi level	4.49	states/eV per cell
space group	I-42d
polymorph energy (0 for the lowest one)	1.23	eV per formula unit

The structure in POSCAR format:
```
BaGaH2
1.0
4.945 0.000 0.000
0.000 4.945 0.000
2.473 2.473 5.918
H Ga Ba
4 2 2
Direct
0.250 0.625 0.250 H
0.375 0.500 0.750 H
0.500 0.125 0.250 H
0.875 0.750 0.750 H
0.250 0.750 0.500 Ga
0.500 0.500 0.000 Ga
0.750 0.250 0.500 Ba
0.000 0.000 0.000 Ba
```